# Tb2DyRu GGA-PBE optimized geometry
# ΔE_f = -0.176 eV/atom
# ΔE to the lowest computed polymorph = 136 meV per atom
data_Tb2DyRu
_space_group_name_H-M_alt 'P 4/m m m'
_space_group_IT_number 123
_space_group_name_Hall '-P 4 2'
_cell_length_a 3.4383
_cell_length_b 3.4383
_cell_length_c 8.9497
_cell_angle_alpha 90.00
_cell_angle_beta 90.00
_cell_angle_gamma 90.00
loop_
_atom_site_label
_atom_site_fract_x
_atom_site_fract_y
_atom_site_fract_z
_atom_site_occupancy
Tb1 0.0000 0.0000 0.1856 1
Dy1 0.5000 0.5000 0.5000 1
Ru1 0.5000 0.5000 0.0000 1

***

# HfSc2P2 GGA-PBE optimized geometry
# ΔE_f = -1.184 eV/atom
data_HfSc2P2
_space_group_name_H-M_alt 'P 4/m b m'
_space_group_IT_number 127
_space_group_name_Hall '-P 4 2ab'
_cell_length_a 7.0088
_cell_length_b 7.0088
_cell_length_c 3.6294
_cell_angle_alpha 90.00
_cell_angle_beta 90.00
_cell_angle_gamma 90.00
loop_
_atom_site_label
_atom_site_fract_x
_atom_site_fract_y
_atom_site_fract_z
_atom_site_occupancy
Hf1 0.0000 0.0000 0.0000 1
Sc1 0.1573 0.3427 0.5000 1
P1 0.1469 0.6469 0.0000 1

***

# BeOs2Ru GGA-PBE optimized geometry
# ΔE_f = 0.656 eV/atom
data_BeOs2Ru
_space_group_name_H-M_alt 'I -4 2 d'
_space_group_IT_number 122
_space_group_name_Hall 'I -4 2bw'
_cell_length_a 3.7127
_cell_length_b 3.7127
_cell_length_c 16.9565
_cell_angle_alpha 90.00
_cell_angle_beta 90.00
_cell_angle_gamma 90.00
loop_
_atom_site_label
_atom_site_fract_x
_atom_site_fract_y
_atom_site_fract_z
_atom_site_occupancy
Be1 0.0000 0.0000 0.0000 1
Os1 0.2073 0.2500 0.1250 1
Ru1 0.0000 0.0000 0.5000 1

***

# Ti5Nb2Re2 GGA-PBE optimized geometry
# ΔE_f = 0.082 eV/atom
data_Ti5Nb2Re2
_space_group_name_H-M_alt 'C 1 2/m 1'
_space_group_IT_number 12
_cell_length_a 12.7659
_cell_length_b 4.6891
_cell_length_c 5.2760
_cell_angle_alpha 90.00
_cell_angle_beta 94.50
_cell_angle_gamma 90.00
loop_
_space_group_symop_operation_xyz
'x,y,z'
'-x,-y,-z'
'-x,y,-z'
'x,-y,z'
'x+1/2,y+1/2,z'
'-x+1/2,-y+1/2,-z'
'-x+1/2,y+1/2,-z'
'x+1/2,-y+1/2,z'
loop_
_atom_site_label
_atom_site_fract_x
_atom_site_fract_y
_atom_site_fract_z
_atom_site_occupancy
Ti1 0.0000 0.0000 0.0000 1
Ti2 0.1099 0.5000 0.1741 1
Ti3 0.1897 0.0000 0.4163 1
Nb1 0.0959 0.5000 0.6856 1
Re1 0.1990 0.0000 0.9146 1